Entry 1:
VASP calculation (PBE) on crystalline LiNiW3 at its relaxed geometry.

```
data_LiNiW3
_space_group_name_H-M_alt 'P m -3 m'
_space_group_IT_number 221
_space_group_name_Hall '-P 4 2 3'
_cell_length_a 4.167
_cell_length_b 4.167
_cell_length_c 4.167
_cell_angle_alpha 90.00
_cell_angle_beta 90.00
_cell_angle_gamma 90.00
loop_
_atom_site_label
_atom_site_fract_x
_atom_site_fract_y
_atom_site_fract_z
_atom_site_occupancy
Li1 0.000 0.000 0.000 1
Ni1 0.500 0.500 0.500 1
W1 0.000 0.000 0.500 1
```

Calculated values
Energy of formation = 7.44 eV per formula unit
Density of states at the Fermi level = 3.39 states/eV per cell
Volume = 14.474 Å³ per atom
Size of the total moment = 0.0 μB per formula unit
E_tot = -39.1 eV for the cell shown
Polymorph energy (0 for the lowest one) = 0 meV per atom
Crystal system = cubic

Entry 2:
VASP calculation (PBE) on crystalline LiNiW at its relaxed geometry.

```
data_LiNiW
_space_group_name_H-M_alt 'P 3 m 1'
_space_group_IT_number 156
_cell_length_a 4.1439
_cell_length_b 4.1439
_cell_length_c 2.5589
_cell_angle_alpha 90.00
_cell_angle_beta 90.00
_cell_angle_gamma 120.00
loop_
_space_group_symop_operation_xyz
'x,y,z'
'-y,x-y,z'
'-x+y,-x,z'
'-y,-x,z'
'-x+y,y,z'
'x,x-y,z'
loop_
_atom_site_label
_atom_site_fract_x
_atom_site_fract_y
_atom_site_fract_z
_atom_site_occupancy
Li1 0.0000 0.0000 0.0000 1
Ni1 0.6667 0.3333 0.1340 1
W1 0.3333 0.6667 0.5542 1
```

Calculated values
Energy of formation = 0.85 eV per formula unit
Density of states at the Fermi level = 1.50 states/eV per cell
Volume = 12.685 Å³ per atom
Size of the total moment = 0.0 μB per formula unit
E_tot = -19.8 eV for the cell shown
Polymorph energy (0 for the lowest one) = 25 meV per atom
Crystal system = trigonal

Entry 3:
VASP calculation (PBE) on crystalline LiNiW2 at its relaxed geometry.

```
data_LiNiW2
_space_group_name_H-M_alt 'P 4/m m m'
_space_group_IT_number 123
_space_group_name_Hall '-P 4 2'
_cell_length_a 3.779
_cell_length_b 3.779
_cell_length_c 3.828
_cell_angle_alpha 90.00
_cell_angle_beta 90.00
_cell_angle_gamma 90.00
loop_
_atom_site_label
_atom_site_fract_x
_atom_site_fract_y
_atom_site_fract_z
_atom_site_occupancy
Li1 0.000 0.000 0.000 1
Ni1 0.500 0.500 0.000 1
W1 0.000 0.500 0.500 1
```

Calculated values
Energy of formation = 1.58 eV per formula unit
Density of states at the Fermi level = 3.71 states/eV per cell
Volume = 13.664 Å³ per atom
Size of the total moment = 0.0 μB per formula unit
E_tot = -32.0 eV for the cell shown
Polymorph energy (0 for the lowest one) = 188 meV per atom
Crystal system = tetragonal

Entry 4:
VASP calculation (PBE) on crystalline LiNiW2 at its relaxed geometry.

```
data_LiNiW2
_space_group_name_H-M_alt 'C m m m'
_space_group_IT_number 65
_space_group_name_Hall '-C 2 2'
_cell_length_a 5.272
_cell_length_b 7.918
_cell_length_c 2.645
_cell_angle_alpha 90.00
_cell_angle_beta 90.00
_cell_angle_gamma 90.00
loop_
_atom_site_label
_atom_site_fract_x
_atom_site_fract_y
_atom_site_fract_z
_atom_site_occupancy
Li1 0.000 0.000 0.000 1
Ni1 0.000 0.500 0.000 1
W1 0.250 0.250 0.500 1
```

Calculated values
Energy of formation = 1.62 eV per formula unit
Density of states at the Fermi level = 8.31 states/eV per cell
Volume = 13.802 Å³ per atom
Size of the total moment = 0.0 μB per formula unit
E_tot = -64.0 eV for the cell shown
Polymorph energy (0 for the lowest one) = 198 meV per atom
Crystal system = orthorhombic

Entry 5:
VASP calculation (PBE) on crystalline LiNiW2 at its relaxed geometry.

```
data_LiNiW2
_space_group_name_H-M_alt 'P m m m'
_space_group_IT_number 47
_cell_length_a 2.675
_cell_length_b 3.850
_cell_length_c 5.307
_cell_angle_alpha 90.00
_cell_angle_beta 90.00
_cell_angle_gamma 90.00
loop_
_space_group_symop_operation_xyz
'x,y,z'
'-x,-y,-z'
'-x,-y,z'
'x,y,-z'
'x,-y,-z'
'-x,y,z'
'-x,y,-z'
'x,-y,z'
loop_
_atom_site_label
_atom_site_fract_x
_atom_site_fract_y
_atom_site_fract_z
_atom_site_occupancy
Li1 0.000 0.000 0.000 1
Ni1 0.000 0.000 0.500 1
W1 0.500 0.500 0.248 1
```

Calculated values
Energy of formation = 1.60 eV per formula unit
Density of states at the Fermi level = 3.89 states/eV per cell
Volume = 13.662 Å³ per atom
Size of the total moment = 0.0 μB per formula unit
E_tot = -32.0 eV for the cell shown
Polymorph energy (0 for the lowest one) = 193 meV per atom
Crystal system = orthorhombic

Entry 6:
VASP calculation (PBE) on crystalline LiNiW2 at its relaxed geometry.

```
data_LiNiW2
_space_group_name_H-M_alt 'C m m m'
_space_group_IT_number 65
_space_group_name_Hall '-C 2 2'
_cell_length_a 3.132
_cell_length_b 4.175
_cell_length_c 8.970
_cell_angle_alpha 90.00
_cell_angle_beta 90.00
_cell_angle_gamma 90.00
loop_
_atom_site_label
_atom_site_fract_x
_atom_site_fract_y
_atom_site_fract_z
_atom_site_occupancy
Li1 0.000 0.000 0.000 1
Ni1 0.000 0.000 0.500 1
W1 0.000 0.500 0.269 1
```

Calculated values
Energy of formation = 1.41 eV per formula unit
Density of states at the Fermi level = 6.26 states/eV per cell
Volume = 14.659 Å³ per atom
Size of the total moment = 0.0 μB per formula unit
E_tot = -64.4 eV for the cell shown
Polymorph energy (0 for the lowest one) = 146 meV per atom
Crystal system = orthorhombic

Entry 7:
VASP calculation (PBE) on crystalline LiNiW2 at its relaxed geometry.

```
data_LiNiW2
_space_group_name_H-M_alt 'P m m 2'
_space_group_IT_number 25
_cell_length_a 2.609
_cell_length_b 3.970
_cell_length_c 5.437
_cell_angle_alpha 90.00
_cell_angle_beta 90.00
_cell_angle_gamma 90.00
loop_
_space_group_symop_operation_xyz
'x,y,z'
'-x,-y,z'
'-x,y,z'
'x,-y,z'
loop_
_atom_site_label
_atom_site_fract_x
_atom_site_fract_y
_atom_site_fract_z
_atom_site_occupancy
Li1 0.000 0.000 0.000 1
Ni1 0.500 0.500 0.217 1
W1 0.000 0.000 0.476 1
W2 0.500 0.500 0.745 1
```

Calculated values
Energy of formation = 1.30 eV per formula unit
Density of states at the Fermi level = 2.20 states/eV per cell
Volume = 14.076 Å³ per atom
Size of the total moment = 0.0 μB per formula unit
E_tot = -32.3 eV for the cell shown
Polymorph energy (0 for the lowest one) = 120 meV per atom
Crystal system = orthorhombic

Entry 8:
VASP calculation (PBE) on crystalline LiNiW at its relaxed geometry.

```
data_LiNiW
_space_group_name_H-M_alt 'I m m 2'
_space_group_IT_number 44
_cell_length_a 2.563
_cell_length_b 3.910
_cell_length_c 7.746
_cell_angle_alpha 90.00
_cell_angle_beta 90.00
_cell_angle_gamma 90.00
loop_
_space_group_symop_operation_xyz
'x,y,z'
'-x,-y,z'
'-x,y,z'
'x,-y,z'
'x+1/2,y+1/2,z+1/2'
'-x+1/2,-y+1/2,z+1/2'
'-x+1/2,y+1/2,z+1/2'
'x+1/2,-y+1/2,z+1/2'
loop_
_atom_site_label
_atom_site_fract_x
_atom_site_fract_y
_atom_site_fract_z
_atom_site_occupancy
Li1 0.000 0.000 0.000 1
Ni1 0.000 0.000 0.664 1
W1 0.000 0.000 0.322 1
```

Calculated values
Energy of formation = 1.04 eV per formula unit
Density of states at the Fermi level = 3.42 states/eV per cell
Volume = 12.941 Å³ per atom
Size of the total moment = 0.0 μB per formula unit
E_tot = -39.2 eV for the cell shown
Polymorph energy (0 for the lowest one) = 90 meV per atom
Crystal system = orthorhombic

Entry 9:
VASP calculation (PBE) on crystalline LiNiW2 at its relaxed geometry.

```
data_LiNiW2
_space_group_name_H-M_alt 'P 4 m m'
_space_group_IT_number 99
_cell_length_a 2.676
_cell_length_b 2.676
_cell_length_c 8.049
_cell_angle_alpha 90.00
_cell_angle_beta 90.00
_cell_angle_gamma 90.00
loop_
_space_group_symop_operation_xyz
'x,y,z'
'-y,x,z'
'-x,-y,z'
'y,-x,z'
'-x,y,z'
'y,x,z'
'x,-y,z'
'-y,-x,z'
loop_
_atom_site_label
_atom_site_fract_x
_atom_site_fract_y
_atom_site_fract_z
_atom_site_occupancy
Li1 0.000 0.000 0.000 1
Ni1 0.500 0.500 0.221 1
W1 0.000 0.000 0.438 1
W2 0.500 0.500 0.723 1
```

Calculated values
Energy of formation = 1.03 eV per formula unit
Density of states at the Fermi level = 1.63 states/eV per cell
Volume = 14.407 Å³ per atom
Size of the total moment = 0.0 μB per formula unit
E_tot = -32.6 eV for the cell shown
Polymorph energy (0 for the lowest one) = 53 meV per atom
Crystal system = tetragonal

Entry 10:
VASP calculation (PBE) on crystalline LiNi4W at its relaxed geometry.

```
data_LiNi4W
_space_group_name_H-M_alt 'C m c m'
_space_group_IT_number 63
_space_group_name_Hall '-C 2c 2'
_cell_length_a 3.558
_cell_length_b 17.857
_cell_length_c 5.036
_cell_angle_alpha 90.00
_cell_angle_beta 90.00
_cell_angle_gamma 90.00
loop_
_atom_site_label
_atom_site_fract_x
_atom_site_fract_y
_atom_site_fract_z
_atom_site_occupancy
Li1 0.000 0.233 0.250 1
Ni1 0.000 0.069 0.250 1
Ni2 0.000 0.360 0.506 1
Ni3 0.000 0.500 0.000 1
W1 0.000 0.081 0.750 1
```

Calculated values
Energy of formation = 0.28 eV per formula unit
Density of states at the Fermi level = 11.10 states/eV per cell
Volume = 13.334 Å³ per atom
Size of the total moment = 0.0 μB per formula unit
E_tot = -150.8 eV for the cell shown
Polymorph energy (0 for the lowest one) = 0 meV per atom
Crystal system = orthorhombic

Entry 11:
VASP calculation (PBE) on crystalline LiNiW2 at its relaxed geometry.

```
data_LiNiW2
_space_group_name_H-M_alt 'P 1 m 1'
_space_group_IT_number 6
_cell_length_a 2.614
_cell_length_b 4.209
_cell_length_c 5.036
_cell_angle_alpha 90.00
_cell_angle_beta 97.10
_cell_angle_gamma 90.00
loop_
_space_group_symop_operation_xyz
'x,y,z'
'x,-y,z'
loop_
_atom_site_label
_atom_site_fract_x
_atom_site_fract_y
_atom_site_fract_z
_atom_site_occupancy
Li1 0.000 0.000 0.000 1
Ni1 0.955 0.500 0.247 1
W1 0.350 0.500 0.774 1
W2 0.590 0.000 0.486 1
```

Calculated values
Energy of formation = 1.02 eV per formula unit
Density of states at the Fermi level = 2.79 states/eV per cell
Volume = 13.746 Å³ per atom
Size of the total moment = 0.0 μB per formula unit
E_tot = -32.6 eV for the cell shown
Polymorph energy (0 for the lowest one) = 50 meV per atom
Crystal system = monoclinic

Entry 12:
VASP calculation (PBE) on crystalline LiNi4W at its relaxed geometry.

```
data_LiNi4W
_space_group_name_H-M_alt 'C 1 2/m 1'
_space_group_IT_number 12
_cell_length_a 8.317
_cell_length_b 4.081
_cell_length_c 5.065
_cell_angle_alpha 90.00
_cell_angle_beta 125.77
_cell_angle_gamma 90.00
loop_
_space_group_symop_operation_xyz
'x,y,z'
'-x,-y,-z'
'-x,y,-z'
'x,-y,z'
'x+1/2,y+1/2,z'
'-x+1/2,-y+1/2,-z'
'-x+1/2,y+1/2,-z'
'x+1/2,-y+1/2,z'
loop_
_atom_site_label
_atom_site_fract_x
_atom_site_fract_y
_atom_site_fract_z
_atom_site_occupancy
Li1 0.000 0.000 0.000 1
Ni1 0.160 0.500 0.995 1
Ni2 0.178 0.500 0.523 1
W1 0.000 0.000 0.500 1
```

Calculated values
Energy of formation = 0.40 eV per formula unit
Density of states at the Fermi level = 10.08 states/eV per cell
Volume = 11.624 Å³ per atom
Size of the total moment = 0.0 μB per formula unit
E_tot = -75.2 eV for the cell shown
Polymorph energy (0 for the lowest one) = 20 meV per atom
Crystal system = monoclinic